w | K2PCl at its PBEsol-relaxed geometry. Source: Alexandria, functional meta-GGA SCAN.

```
data_K2PCl
_chemical_formula_sum 'K4 P2 Cl2'
_space_group_name_H-M_alt 'I m m m'
_space_group_IT_number 71
_space_group_name_Hall '-I 2 2'
_cell_length_a 5.235
_cell_length_b 5.266
_cell_length_c 8.353
_cell_angle_alpha 90.00
_cell_angle_beta 90.00
_cell_angle_gamma 90.00
loop_
_atom_site_label
_atom_site_fract_x
_atom_site_fract_y
_atom_site_fract_z
K1 0.000 0.000 0.249
P1 0.000 0.500 0.000
Cl1 0.000 0.500 0.500
```

Its density of states at the Fermi level is 0.011 states/eV/atom. The magnetization comes out at 2.00 μB per formula unit.


x | K2PCl at its PBEsol-relaxed geometry. Source: Alexandria, functional meta-GGA SCAN.

```
data_K2PCl
_chemical_formula_sum 'K8 P4 Cl4'
_space_group_name_H-M_alt 'I -4 2 d'
_space_group_IT_number 122
_space_group_name_Hall 'I -4 2bw'
_cell_length_a 8.284
_cell_length_b 8.284
_cell_length_c 8.274
_cell_angle_alpha 90.00
_cell_angle_beta 90.00
_cell_angle_gamma 90.00
loop_
_atom_site_label
_atom_site_fract_x
_atom_site_fract_y
_atom_site_fract_z
K1 0.224 0.750 0.125
P1 0.000 0.000 0.500
Cl1 0.000 0.000 0.000
```

Its density of states at the Fermi level is 0.393 states/eV/atom. The magnetization comes out at 2.00 μB per formula unit.


y | K2PCl at its PBEsol-relaxed geometry. Source: Alexandria, functional meta-GGA SCAN.

```
data_K2PCl
_chemical_formula_sum 'K2 P1 Cl1'
_space_group_name_H-M_alt 'P 4/m m m'
_space_group_IT_number 123
_space_group_name_Hall '-P 4 2'
_cell_length_a 3.413
_cell_length_b 3.413
_cell_length_c 8.622
_cell_angle_alpha 90.00
_cell_angle_beta 90.00
_cell_angle_gamma 90.00
loop_
_atom_site_label
_atom_site_fract_x
_atom_site_fract_y
_atom_site_fract_z
K1 0.000 0.000 0.224
P1 0.500 0.500 0.500
Cl1 0.500 0.500 0.000
```

Its density of states at the Fermi level is 0.334 states/eV/atom. The magnetization comes out at 0.00 μB per formula unit.


Which of them is least stable? Easy: x.


w | KPbCl at its PBEsol-relaxed geometry. Source: Alexandria, functional meta-GGA SCAN.

```
data_KPbCl
_chemical_formula_sum 'K2 Pb2 Cl2'
_space_group_name_H-M_alt 'I 4 m m'
_space_group_IT_number 107
_space_group_name_Hall 'I 4 -2'
_cell_length_a 3.540
_cell_length_b 3.540
_cell_length_c 14.767
_cell_angle_alpha 90.00
_cell_angle_beta 90.00
_cell_angle_gamma 90.00
loop_
_atom_site_label
_atom_site_fract_x
_atom_site_fract_y
_atom_site_fract_z
K1 0.000 0.000 0.000
Pb1 0.000 0.000 0.274
Cl1 0.000 0.000 0.606
```

Its density of states at the Fermi level is 0.499 states/eV/atom. The magnetization comes out at 0.00 μB per formula unit.


x | KPbCl at its PBEsol-relaxed geometry. Source: Alexandria, functional meta-GGA SCAN.

```
data_KPbCl
_chemical_formula_sum 'K4 Pb4 Cl4'
_space_group_name_H-M_alt 'F -4 3 m'
_space_group_IT_number 216
_space_group_name_Hall 'F -4 2 3'
_cell_length_a 7.417
_cell_length_b 7.417
_cell_length_c 7.417
_cell_angle_alpha 90.00
_cell_angle_beta 90.00
_cell_angle_gamma 90.00
loop_
_atom_site_label
_atom_site_fract_x
_atom_site_fract_y
_atom_site_fract_z
K1 0.000 0.000 0.000
Pb1 0.000 0.000 0.500
Cl1 0.250 0.250 0.250
```

Its density of states at the Fermi level is 0.370 states/eV/atom. The magnetization comes out at 0.00 μB per formula unit.


Which of them is least stable? Easy: x.


w | K2PbCl at its PBEsol-relaxed geometry. Source: Alexandria, functional meta-GGA SCAN.

```
data_K2PbCl
_chemical_formula_sum 'K2 Pb1 Cl1'
_space_group_name_H-M_alt 'P 4/m m m'
_space_group_IT_number 123
_space_group_name_Hall '-P 4 2'
_cell_length_a 6.181
_cell_length_b 6.181
_cell_length_c 3.424
_cell_angle_alpha 90.00
_cell_angle_beta 90.00
_cell_angle_gamma 90.00
loop_
_atom_site_label
_atom_site_fract_x
_atom_site_fract_y
_atom_site_fract_z
K1 0.000 0.500 0.000
Pb1 0.000 0.000 0.500
Cl1 0.500 0.500 0.500
```

Its density of states at the Fermi level is 0.407 states/eV/atom. The magnetization comes out at 0.00 μB per formula unit.


x | K2PbCl at its PBEsol-relaxed geometry. Source: Alexandria, functional meta-GGA SCAN.

```
data_K2PbCl
_chemical_formula_sum 'K4 Pb2 Cl2'
_space_group_name_H-M_alt 'I m m 2'
_space_group_IT_number 44
_space_group_name_Hall 'I 2 -2'
_cell_length_a 3.569
_cell_length_b 3.823
_cell_length_c 19.569
_cell_angle_alpha 90.00
_cell_angle_beta 90.00
_cell_angle_gamma 90.00
loop_
_atom_site_label
_atom_site_fract_x
_atom_site_fract_y
_atom_site_fract_z
K1 0.000 0.000 0.000
K2 0.000 0.500 0.204
Pb1 0.000 0.500 0.840
Cl1 0.000 0.000 0.581
```

Its density of states at the Fermi level is 0.450 states/eV/atom. The magnetization comes out at 0.00 μB per formula unit.


Which of them is least stable? Easy: w.